Record 1
Here is a relaxed structure of CdPCl from the Alexandria database. Energies are from GGA-PBE.

abc: 4.6607 4.6607 4.6607
angles: 60.00 60.00 60.00
Closest atoms and distances in Å follow each position.
Element x y z (fractional)
Cd (0.0000, 0.0000, 0.0000)  4 P 2.85
Cl (0.5000, 0.5000, 0.5000)  4 P 2.85
P (0.7500, 0.7500, 0.7500)  4 Cl 2.85, 4 Cd 2.85

Calculated values
- energy relative to the elements, uncorrected (eV/atom) = 0.433
- E (eV/atom) = -2.29
- SG = F-43m (216)
- excess energy over the best structure of this formula in the dataset (meV/atom) = 953

***

Record 2
Here is a relaxed structure of HfCr4 from the Alexandria database. Energies are from GGA-PBE.

abc: 4.8238 4.8238 4.8238
angles: 90.00 90.00 90.00
Closest atoms and distances in Å follow each position.
Element x y z (fractional)
Cr (0.0000, 0.0000, 0.0000)  12 Cr 3.41
Cr (0.5000, 0.0000, 0.5000)  2 Hf 2.41
Cr (0.0000, 0.5000, 0.5000)  2 Hf 2.41
Cr (0.5000, 0.5000, 0.0000)  2 Hf 2.41
Hf (0.5000, 0.5000, 0.5000)  6 Cr 2.41

Calculated values
- E (eV/atom) = -7.69
- calculated formation energy (eV/atom) = 2.001
- SG = Pm-3m (221)

***

Record 3
Here is a relaxed structure of RbBa2Na3 from the Alexandria database. Energies are from GGA-PBE.

abc: 4.7319 4.7319 14.6506
angles: 90.00 90.00 90.00
Closest atoms and distances in Å follow each position.
Element x y z (fractional)
Rb (0.5000, 0.5000, 0.5000)  8 Na 4.29, 4 Rb 4.73
Ba (0.5000, 0.5000, 0.8439)  8 Na 4.05-4.09
Ba (0.5000, 0.5000, 0.1561)  8 Na 4.05-4.09
Na (0.0000, 0.0000, 0.0000)  8 Ba 4.05
Na (0.0000, 0.0000, 0.6836)  4 Ba 4.09, 4 Rb 4.29
Na (0.0000, 0.0000, 0.3164)  4 Ba 4.09, 4 Rb 4.29

Calculated values
- E (eV/atom) = -1.44
- calculated formation energy (eV/atom) = 0.021
- SG = P4/mmm (123)

***

Record 4
Here is a relaxed structure of Sr2ScCr from the Alexandria database. Energies are from GGA-PBE.

abc: 3.7862 3.7862 9.4105
angles: 90.00 90.00 90.00
Closest atoms and distances in Å follow each position.
Element x y z (fractional)
Cr (0.0000, 0.0000, 0.5542)  4 Sc 2.92
Sc (0.5000, 0.5000, 0.6792)  4 Cr 2.92
Sr (0.0000, 0.0000, 0.9524)  4 Sc 3.71, 1 Cr 3.75, 4 Sr 3.79
Sr (0.5000, 0.5000, 0.3143)  1 Sc 3.43, 4 Cr 3.50, 4 Sr 3.79

Calculated values
- E (eV/atom) = -4.44
- calculated formation energy (eV/atom) = 0.390
- SG = P4mm (99)
- excess energy over the best structure of this formula in the dataset (meV/atom) = 0

***

Record 5
Here is a relaxed structure of Ti2Nb2Mo from the Alexandria database. Energies are from GGA-PBE.

abc: 6.3637 5.1552 7.4548
angles: 75.83 66.62 51.89
Closest atoms and distances in Å follow each position.
Element x y z (fractional)
Ti (0.7373, 0.0000, 0.4495)  6 Nb 2.81-2.87, 3 Ti 2.81-2.95
Ti (0.5827, 0.0000, 0.1368)  3 Ti 2.64-2.95, 2 Nb 2.82, 4 Mo 2.82-2.94
Ti (0.4173, 0.0000, 0.8632)  3 Ti 2.64-2.95, 2 Nb 2.82, 4 Mo 2.82-2.94
Ti (0.2627, 0.0000, 0.5505)  6 Nb 2.81-2.87, 3 Ti 2.81-2.95
Nb (0.6582, 0.3948, 0.7047)  2 Mo 2.66-2.71, 4 Ti 2.81-2.87, 1 Nb 2.87
Nb (0.3418, 0.6052, 0.2953)  2 Mo 2.66-2.71, 4 Ti 2.81-2.87, 1 Nb 2.87
Nb (0.0530, 0.6052, 0.7047)  2 Mo 2.66-2.71, 4 Ti 2.81-2.87, 1 Nb 2.87
Nb (0.9470, 0.3948, 0.2953)  2 Mo 2.66-2.71, 4 Ti 2.81-2.87, 1 Nb 2.87
Mo (0.1758, 0.6485, 0.0000)  4 Nb 2.66-2.71, 4 Ti 2.82-2.94, 1 Mo 2.85
Mo (0.8242, 0.3515, 0.0000)  4 Nb 2.66-2.71, 4 Ti 2.82-2.94, 1 Mo 2.85

Calculated values
- E (eV/atom) = -9.18
- calculated formation energy (eV/atom) = 0.175
- SG = C2/m (12)
- excess energy over the best structure of this formula in the dataset (meV/atom) = 32

***

Record 6
Here is a relaxed structure of RbGeBAs2 from the Alexandria database. Energies are from GGA-PBE.

abc: 5.6900 5.7103 5.6900
angles: 90.00 90.00 90.00
Closest atoms and distances in Å follow each position.
Element x y z (fractional)
As (0.0000, 0.0000, 0.5000)  2 Rb 2.85
As (0.5000, 0.0000, 0.0000)  2 Rb 2.85
B (0.5000, 0.5000, 0.5000)  4 Ge 4.02, 8 As 4.03
Ge (0.0000, 0.5000, 0.0000)  2 Rb 2.86
Rb (0.0000, 0.0000, 0.0000)  4 As 2.85, 2 Ge 2.86

Calculated values
- E (eV/atom) = -1.76
- calculated formation energy (eV/atom) = 2.551
- SG = P4/mmm (123)

***

The highest E belongs to which entry? RbBa2Na3